## BeCrO2 (PBE+U)

Data for crystalline BeCrO2 at its relaxed geometry.

a = 4.624 Å, b = 4.624 Å, c = 4.856 Å
α = 61.57°, β = 61.57°, γ = 90.00°
Fractional positions:
1 Cr 0.000 0.000 0.000
2 Cr 0.750 0.250 0.500
3 O 0.548 0.125 0.250
4 O 0.202 0.625 0.250
5 O 0.375 0.452 0.750
6 O 0.875 0.798 0.750
7 Be 0.500 0.500 0.000
8 Be 0.250 0.750 0.500

Values from the calculation:
- electronic total energy (eV/cell) = -58.174
- space group = No. 122